[1]
The following is a PBE calculation of a relaxed structure of GaTcHPd2, from Alexandria via LeMat-Bulk.

Cell lengths 3.867, 3.867, 4.188 Å; angles 90.00, 90.00, 90.00 degrees
Element x y z (fractional)
Ga 0.000 0.000 0.000
Tc 0.500 0.500 0.000
H 0.500 0.500 0.500
Pd 0.000 0.500 0.500
Pd 0.500 0.000 0.500

Values from the calculation:
electronic total energy	-27.55	eV for the cell shown



[2]
The following is a PBE calculation of a relaxed structure of Ca6HgPt3, from Alexandria via LeMat-Bulk.

Cell lengths 10.712, 4.438, 12.551 Å; angles 90.00, 110.60, 90.00 degrees
Element x y z (fractional)
Ca 0.026 0.250 0.391
Ca 0.083 0.250 0.917
Ca 0.229 0.750 0.319
Ca 0.338 0.750 0.804
Ca 0.345 0.750 0.093
Ca 0.381 0.250 0.567
Ca 0.619 0.750 0.433
Ca 0.655 0.250 0.907
Ca 0.662 0.250 0.196
Ca 0.771 0.250 0.681
Ca 0.917 0.750 0.083
Ca 0.974 0.750 0.609
Hg 0.415 0.250 0.292
Hg 0.585 0.750 0.708
Pt 0.113 0.250 0.169
Pt 0.198 0.750 0.535
Pt 0.403 0.250 0.968
Pt 0.597 0.750 0.032
Pt 0.802 0.250 0.465
Pt 0.887 0.750 0.831

Values from the calculation:
DFT formation energy	-66.8	kJ/mol of atoms
electronic total energy	-74.72	eV for the cell shown



[3]
The following is a PBE calculation of a relaxed structure of Ta3Al5, from Alexandria via LeMat-Bulk.

Cell lengths 7.966, 7.966, 5.081 Å; angles 90.00, 90.00, 120.00 degrees
Element x y z (fractional)
Ta 0.000 0.407 0.250
Ta 0.000 0.593 0.750
Ta 0.407 0.000 0.250
Ta 0.407 0.407 0.750
Ta 0.593 0.000 0.750
Ta 0.593 0.593 0.250
Al 0.000 0.217 0.750
Al 0.000 0.783 0.250
Al 0.217 0.000 0.750
Al 0.217 0.217 0.250
Al 0.333 0.667 0.000
Al 0.333 0.667 0.500
Al 0.667 0.333 0.000
Al 0.667 0.333 0.500
Al 0.783 0.000 0.250
Al 0.783 0.783 0.750

Values from the calculation:
offset from the most stable computed form	0.272	eV/atom
DFT formation energy	4.6	kJ/mol of atoms
electronic total energy	-107.78	eV for the cell shown